A plane-wave DFT calculation with PBE+U was carried out for an optimized crystal structure of Li8Sc5Fe3Si16O48.

Geometry as POSCAR:
```
Li8Sc5Fe3Si16O48
1.0
8.960 0.000 0.000
0.000 9.909 0.022
0.000 3.778 10.110
Si O Li Fe Sc
16 48 8 3 5
Cartesian
8.158 4.796 4.927 Si
0.775 3.847 2.425 Si
8.153 7.001 0.139 Si
8.153 6.687 9.992 Si
5.282 10.678 7.482 Si
5.256 4.884 7.682 Si
8.158 8.892 5.204 Si
3.728 2.070 0.139 Si
3.677 9.749 4.955 Si
5.256 8.803 2.450 Si
3.728 11.617 9.992 Si
3.677 3.939 5.177 Si
0.775 9.840 7.706 Si
5.282 3.009 2.649 Si
0.768 5.739 7.456 Si
0.768 7.949 2.675 Si
2.261 1.471 0.470 O
2.261 12.217 9.661 O
8.173 1.367 0.471 O
4.468 4.896 9.127 O
8.220 10.442 4.631 O
2.229 7.340 2.992 O
4.554 11.667 8.575 O
4.439 10.691 6.066 O
5.253 7.269 3.078 O
8.939 8.855 6.652 O
2.236 4.450 2.092 O
6.718 4.282 8.002 O
2.206 3.323 5.483 O
0.772 9.490 2.082 O
4.439 2.997 4.065 O
2.206 10.364 4.648 O
6.692 6.374 0.465 O
5.253 6.418 7.054 O
6.718 9.405 2.129 O
8.947 6.694 8.550 O
6.738 11.267 7.113 O
8.220 3.245 5.500 O
8.935 3.846 0.985 O
3.761 6.290 0.463 O
8.935 9.841 9.146 O
0.776 11.370 7.072 O
0.776 2.317 3.060 O
8.921 7.930 4.109 O
8.947 6.993 1.582 O
4.452 9.784 3.503 O
4.554 2.020 1.557 O
5.267 4.540 2.019 O
2.236 9.237 8.039 O
4.452 3.903 6.629 O
2.229 6.347 7.140 O
0.772 4.197 8.049 O
8.939 4.832 3.479 O
6.682 5.404 4.623 O
3.731 5.493 4.612 O
3.731 8.194 5.519 O
6.738 2.420 3.018 O
8.173 12.321 9.661 O
5.267 9.147 8.113 O
6.692 7.313 9.666 O
3.761 7.397 9.669 O
6.682 8.283 5.509 O
8.921 5.757 6.022 O
4.468 8.791 1.004 O
6.691 0.000 0.000 Li
2.271 2.823 7.548 Li
6.747 1.889 5.055 Li
2.256 4.955 0.011 Li
6.743 7.788 7.593 Li
6.743 5.899 2.539 Li
2.250 6.844 5.066 Li
2.271 10.864 2.584 Li
0.956 1.889 5.055 Fe
5.438 4.955 0.011 Fe
5.440 6.844 5.066 Fe
3.552 7.789 7.591 Sc
3.552 5.898 2.540 Sc
0.971 0.000 0.000 Sc
8.022 12.735 7.587 Sc
8.022 0.952 2.544 Sc
```

Output
N(E_F) (states/eV per cell): 0.0
Raw total energy (eV for the cell shown): -606.36
M_tot (μB/f.u.): 14.6
Mass density (Mg/m³): 3.08